# 1
## Ba2ThAgSe5 (PBE)

Data for a relaxed Ba2ThAgSe5 crystal.

Computed properties:
As for the uncorrected formation energy: -1494.1 meV per atom. The calculation puts the spin magnetization at 0.0 μB/f.u. The symmetry is Cmc2_1, No. 36.

Cell and atoms, written as extended XYZ:
```
18
Lattice="2.184 -9.550 0.000 2.184 9.550 0.000 0.000 0.000 13.307" Properties=species:S:1:pos:R:3 pbc="T T T"
Ba 2.184 7.311 6.654
Ba 2.184 7.226 1.870
Ba 2.184 -7.226 8.524
Ba 2.184 -7.311 0.000
Th 2.184 5.797 11.025
Th 2.184 -5.797 4.372
Ag 2.184 0.991 3.347
Ag 2.184 -0.991 10.000
Se 2.184 8.778 11.411
Se 2.184 3.872 6.322
Se 2.184 3.695 2.385
Se 2.184 2.935 10.931
Se 2.184 0.045 7.634
Se 2.184 -0.045 0.980
Se 2.184 -2.935 4.278
Se 2.184 -3.695 9.039
Se 2.184 -3.872 12.976
Se 2.184 -8.778 4.758
```



# 2
## AgPb2Cl (PBE)

Data for a relaxed AgPb2Cl crystal.

Computed properties:
As for the uncorrected formation energy: -204.5 meV per atom. The calculation puts the spin magnetization at 0.0 μB/f.u. The symmetry is P4/mmm, No. 123.

Cell and atoms, written as extended XYZ:
```
4
Lattice="3.517 0.000 0.000 0.000 3.517 0.000 0.000 0.000 8.351" Properties=species:S:1:pos:R:3 pbc="T T T"
Ag 0.000 0.000 0.000
Pb 1.758 1.758 1.958
Pb 1.758 1.758 6.393
Cl 0.000 0.000 4.176
```



# 3
## Y3HoCo2 (PBE)

Data for a relaxed Y3HoCo2 crystal.

Computed properties:
The value obtained for the formation energy is -0.1545 eV per atom. The calculation puts the spin magnetization at 0.0 μB/f.u. The symmetry is C2/m, No. 12.

Cell and atoms, written as extended XYZ:
```
12
Lattice="8.229 -1.876 0.000 8.229 1.876 0.000 -6.431 0.000 9.617" Properties=species:S:1:pos:R:3 pbc="T T T"
Y -1.457 0.000 4.223
Y -4.685 0.000 9.049
Y 3.977 0.000 2.441
Y 6.050 0.000 7.176
Y 14.712 0.000 0.568
Y 11.484 0.000 5.394
Ho 0.750 0.000 7.226
Ho 9.277 0.000 2.391
Co 1.467 0.000 4.353
Co -1.750 0.000 9.172
Co 11.777 0.000 0.444
Co 8.561 0.000 5.263
```



# 4
## Na3H2F (PBE)

Data for a relaxed Na3H2F crystal.

Computed properties:
The calculation puts the spin magnetization at 0.0 μB/f.u. The total energy comes out at -3.132 eV/atom. The symmetry is C2/c, No. 15.

Cell and atoms, written as extended XYZ:
```
12
Lattice="2.930 -5.064 0.000 2.930 5.064 0.000 -1.964 0.000 5.513" Properties=species:S:1:pos:R:3 pbc="T T T"
Na 0.483 2.532 2.757
Na 1.432 0.827 0.014
Na 0.450 -0.827 2.771
Na 1.465 -2.532 0.000
Na 3.447 0.827 2.742
Na 2.465 -0.827 5.499
H 2.439 2.540 1.378
H 1.457 0.843 4.135
H 2.439 -0.843 1.378
H 1.457 -2.540 4.135
F 1.457 4.225 4.135
F 2.439 -4.225 1.378
```